[1]
{
  "formula": "RbTlHgAs",
  "functional": "PBE",
  "state": "optimized geometry",
  "formation_enthalpy_0k_ev_per_fu": -0.10,
  "space_group": "F-43m",
  "lattice_angstrom": [[7.921, 0.000, 0.000], [0.000, 7.921, 0.000], [0.000, 0.000, 7.921]],
  "species": ["Rb", "Rb", "Rb", "Rb", "Tl", "Tl", "Tl", "Tl", "Hg", "Hg", "Hg", "Hg", "As", "As", "As", "As"],
  "fractional_positions": [[0.000, 0.000, 0.000], [0.000, 0.500, 0.500], [0.500, 0.000, 0.500], [0.500, 0.500, 0.000], [0.000, 0.000, 0.500], [0.000, 0.500, 0.000], [0.500, 0.000, 0.000], [0.500, 0.500, 0.500], [0.250, 0.250, 0.250], [0.250, 0.750, 0.750], [0.750, 0.250, 0.750], [0.750, 0.750, 0.250], [0.250, 0.250, 0.750], [0.250, 0.750, 0.250], [0.750, 0.250, 0.250], [0.750, 0.750, 0.750]]
}

[2]
{
  "formula": "Rb2ZnHgAs",
  "functional": "PBE",
  "state": "optimized geometry",
  "formation_enthalpy_0k_ev_per_fu": -0.85,
  "e_above_lowest_polymorph_ev_per_atom": 0.000,
  "space_group": "P4/mmm",
  "lattice_angstrom": [[6.848, 0.000, 0.000], [0.000, 6.848, 0.000], [0.000, 0.000, 4.837]],
  "species": ["Rb", "Rb", "Zn", "Hg", "As"],
  "fractional_positions": [[0.000, 0.500, 0.000], [0.500, 0.000, 0.000], [0.000, 0.000, 0.500], [0.500, 0.500, 0.500], [0.000, 0.000, 0.000]]
}

[3]
{
  "formula": "RbZnHgAs",
  "functional": "PBE",
  "state": "optimized geometry",
  "formation_enthalpy_0k_ev_per_fu": -1.27,
  "space_group": "P4/nmm",
  "lattice_angstrom": [[4.329, 0.000, 0.000], [0.000, 4.329, 0.000], [0.000, 0.000, 12.858]],
  "species": ["Rb", "Rb", "Zn", "Zn", "Hg", "Hg", "As", "As"],
  "fractional_positions": [[0.250, 0.250, 0.243], [0.750, 0.750, 0.757], [0.250, 0.750, 0.000], [0.750, 0.250, 0.000], [0.250, 0.750, 0.500], [0.750, 0.250, 0.500], [0.250, 0.250, 0.886], [0.750, 0.750, 0.114]]
}

[4]
{
  "formula": "Rb2ZnHgAs2",
  "functional": "PBE",
  "state": "optimized geometry",
  "formation_enthalpy_0k_ev_per_fu": -1.86,
  "space_group": "Ibam",
  "lattice_angstrom": [[-3.255, 8.307, 3.240], [3.255, -8.307, 3.240], [3.255, 8.307, -3.240]],
  "species": ["Rb", "Rb", "Rb", "Rb", "Zn", "Zn", "Hg", "Hg", "As", "As", "As", "As"],
  "fractional_positions": [[0.171, 0.236, 0.407], [0.329, 0.736, 0.066], [0.671, 0.264, 0.934], [0.829, 0.764, 0.593], [0.250, 0.750, 0.500], [0.750, 0.250, 0.500], [0.250, 0.250, 0.000], [0.750, 0.750, 0.000], [0.093, 0.722, 0.815], [0.407, 0.222, 0.629], [0.593, 0.778, 0.371], [0.907, 0.278, 0.185]]
}

[5]
{
  "formula": "Re3HgAs",
  "functional": "PBE",
  "state": "optimized geometry",
  "formation_enthalpy_0k_ev_per_fu": 16.62,
  "e_above_lowest_polymorph_ev_per_atom": 1.648,
  "space_group": "Pm-3m",
  "lattice_angstrom": [[4.920, 0.000, 0.000], [0.000, 4.920, 0.000], [0.000, 0.000, 4.920]],
  "species": ["Re", "Re", "Re", "Hg", "As"],
  "fractional_positions": [[0.000, 0.000, 0.500], [0.000, 0.500, 0.000], [0.500, 0.000, 0.000], [0.000, 0.000, 0.000], [0.500, 0.500, 0.500]]
}

[6]
{
  "formula": "Re3HgAs",
  "functional": "PBE",
  "state": "optimized geometry",
  "formation_enthalpy_0k_ev_per_fu": 8.38,
  "e_above_lowest_polymorph_ev_per_atom": 0.000,
  "space_group": "Pm-3m",
  "lattice_angstrom": [[4.574, 0.000, 0.000], [0.000, 4.574, 0.000], [0.000, 0.000, 4.574]],
  "species": ["Re", "Re", "Re", "Hg", "As"],
  "fractional_positions": [[0.000, 0.000, 0.500], [0.000, 0.500, 0.000], [0.500, 0.000, 0.000], [0.500, 0.500, 0.500], [0.000, 0.000, 0.000]]
}

[7]
{
  "formula": "ReHgAsSe2",
  "functional": "PBE",
  "state": "optimized geometry",
  "e_above_lowest_polymorph_ev_per_atom": 0.000,
  "space_group": "P4/mmm",
  "e_form_raw_ev_per_atom": 0.475,
  "lattice_angstrom": [[4.942, 0.000, 0.000], [0.000, 4.942, 0.000], [0.000, 0.000, 4.909]],
  "species": ["Re", "Hg", "As", "Se", "Se"],
  "fractional_positions": [[0.000, 0.000, 0.000], [0.500, 0.500, 0.500], [0.000, 0.000, 0.500], [0.000, 0.500, 0.000], [0.500, 0.000, 0.000]]
}

[8]
{
  "formula": "ReHgAs2Se",
  "functional": "PBE",
  "state": "optimized geometry",
  "e_above_lowest_polymorph_ev_per_atom": 0.000,
  "space_group": "P4/mmm",
  "e_form_raw_ev_per_atom": 0.505,
  "lattice_angstrom": [[4.753, 0.000, 0.000], [0.000, 4.753, 0.000], [0.000, 0.000, 5.377]],
  "species": ["Re", "Hg", "As", "As", "Se"],
  "fractional_positions": [[0.000, 0.000, 0.000], [0.500, 0.500, 0.500], [0.000, 0.500, 0.000], [0.500, 0.000, 0.000], [0.000, 0.000, 0.500]]
}

[9]
{
  "formula": "TiReHgAs2",
  "functional": "PBE",
  "state": "optimized geometry",
  "formation_enthalpy_0k_ev_per_fu": 4.68,
  "space_group": "P4/mmm",
  "lattice_angstrom": [[4.806, 0.000, 0.000], [0.000, 4.806, 0.000], [0.000, 0.000, 4.849]],
  "species": ["Ti", "Re", "Hg", "As", "As"],
  "fractional_positions": [[0.000, 0.000, 0.000], [0.000, 0.000, 0.500], [0.500, 0.500, 0.500], [0.000, 0.500, 0.000], [0.500, 0.000, 0.000]]
}

[10]
{
  "formula": "VReHg2As",
  "functional": "PBE",
  "state": "optimized geometry",
  "formation_enthalpy_0k_ev_per_fu": 8.34,
  "space_group": "P4/mmm",
  "lattice_angstrom": [[5.049, 0.000, 0.000], [0.000, 5.049, 0.000], [0.000, 0.000, 4.614]],
  "species": ["V", "Re", "Hg", "Hg", "As"],
  "fractional_positions": [[0.000, 0.000, 0.000], [0.500, 0.500, 0.000], [0.000, 0.500, 0.500], [0.500, 0.000, 0.500], [0.000, 0.000, 0.500]]
}

[11]
{
  "formula": "Hg2As2Rh",
  "functional": "PBE",
  "state": "optimized geometry",
  "formation_enthalpy_0k_ev_per_fu": -0.30,
  "e_above_lowest_polymorph_ev_per_atom": 0.000,
  "space_group": "P4/mbm",
  "lattice_angstrom": [[6.293, 0.000, 0.000], [0.000, 6.293, 0.000], [0.000, 0.000, 5.649]],
  "species": ["Hg", "Hg", "Hg", "Hg", "As", "As", "As", "As", "Rh", "Rh"],
  "fractional_positions": [[0.175, 0.325, 0.000], [0.325, 0.825, 0.000], [0.675, 0.175, 0.000], [0.825, 0.675, 0.000], [0.144, 0.356, 0.500], [0.356, 0.856, 0.500], [0.644, 0.144, 0.500], [0.856, 0.644, 0.500], [0.000, 0.000, 0.500], [0.500, 0.500, 0.500]]
}

[12]
{
  "formula": "HgAsRh2",
  "functional": "PBE",
  "state": "optimized geometry",
  "formation_enthalpy_0k_ev_per_fu": 0.14,
  "space_group": "P4mm",
  "lattice_angstrom": [[2.988, 0.000, 0.000], [0.000, 2.988, 0.000], [0.000, 0.000, 7.925]],
  "species": ["Hg", "As", "Rh", "Rh"],
  "fractional_positions": [[0.000, 0.000, 0.000], [0.500, 0.500, 0.650], [0.000, 0.000, 0.470], [0.500, 0.500, 0.241]]
}

[13]
{
  "formula": "HgAsRh2",
  "functional": "PBE",
  "state": "optimized geometry",
  "formation_enthalpy_0k_ev_per_fu": 0.58,
  "space_group": "R3m",
  "lattice_angstrom": [[3.014, 0.000, 0.000], [-1.507, 2.610, 0.000], [0.000, 0.000, 26.594]],
  "species": ["Hg", "Hg", "Hg", "As", "As", "As", "Rh", "Rh", "Rh", "Rh", "Rh", "Rh"],
  "fractional_positions": [[0.000, 0.000, 0.000], [0.333, 0.667, 0.667], [0.667, 0.333, 0.333], [0.000, 0.000, 0.232], [0.333, 0.667, 0.898], [0.667, 0.333, 0.565], [0.000, 0.000, 0.500], [0.000, 0.000, 0.751], [0.333, 0.667, 0.167], [0.333, 0.667, 0.418], [0.667, 0.333, 0.085], [0.667, 0.333, 0.833]]
}

[14]
{
  "formula": "HgAsRh2",
  "functional": "PBE",
  "state": "optimized geometry",
  "formation_enthalpy_0k_ev_per_fu": 0.06,
  "space_group": "Pm",
  "lattice_angstrom": [[3.070, 0.000, 0.000], [0.000, 4.623, 0.000], [-1.203, 0.000, 4.930]],
  "species": ["Hg", "As", "Rh", "Rh"],
  "fractional_positions": [[0.000, 0.000, 0.000], [0.291, 0.500, 0.637], [0.353, 0.000, 0.525], [0.643, 0.500, 0.246]]
}

[15]
{
  "formula": "HgAsRh2",
  "functional": "PBE",
  "state": "optimized geometry",
  "formation_enthalpy_0k_ev_per_fu": 0.90,
  "space_group": "I-4m2",
  "lattice_angstrom": [[3.849, 0.000, 0.000], [0.000, 3.849, 0.000], [0.000, 0.000, 9.012]],
  "species": ["Hg", "Hg", "As", "As", "Rh", "Rh", "Rh", "Rh"],
  "fractional_positions": [[0.000, 0.000, 0.000], [0.500, 0.500, 0.500], [0.000, 0.500, 0.250], [0.500, 0.000, 0.750], [0.000, 0.000, 0.500], [0.000, 0.500, 0.750], [0.500, 0.000, 0.250], [0.500, 0.500, 0.000]]
}

[16]
{
  "formula": "Hg3AsRh",
  "functional": "PBE",
  "state": "optimized geometry",
  "formation_enthalpy_0k_ev_per_fu": 3.14,
  "e_above_lowest_polymorph_ev_per_atom": 0.000,
  "space_group": "Pm-3m",
  "lattice_angstrom": [[5.241, 0.000, 0.000], [0.000, 5.241, 0.000], [0.000, 0.000, 5.241]],
  "species": ["Hg", "Hg", "Hg", "As", "Rh"],
  "fractional_positions": [[0.000, 0.000, 0.500], [0.000, 0.500, 0.000], [0.500, 0.000, 0.000], [0.500, 0.500, 0.500], [0.000, 0.000, 0.000]]
}

[17]
{
  "formula": "HgAsRh2",
  "functional": "PBE",
  "state": "optimized geometry",
  "formation_enthalpy_0k_ev_per_fu": 1.10,
  "space_group": "F-43m",
  "lattice_angstrom": [[6.449, 0.000, 0.000], [0.000, 6.449, 0.000], [0.000, 0.000, 6.449]],
  "species": ["Hg", "Hg", "Hg", "Hg", "As", "As", "As", "As", "Rh", "Rh", "Rh", "Rh", "Rh", "Rh", "Rh", "Rh"],
  "fractional_positions": [[0.000, 0.000, 0.000], [0.000, 0.500, 0.500], [0.500, 0.000, 0.500], [0.500, 0.500, 0.000], [0.250, 0.250, 0.750], [0.250, 0.750, 0.250], [0.750, 0.250, 0.250], [0.750, 0.750, 0.750], [0.000, 0.000, 0.500], [0.000, 0.500, 0.000], [0.250, 0.250, 0.250], [0.250, 0.750, 0.750], [0.500, 0.000, 0.000], [0.500, 0.500, 0.500], [0.750, 0.250, 0.750], [0.750, 0.750, 0.250]]
}

[18]
{
  "formula": "HgAs2Rh",
  "functional": "PBE",
  "state": "optimized geometry",
  "formation_enthalpy_0k_ev_per_fu": -0.32,
  "space_group": "R-3m",
  "lattice_angstrom": [[3.544, 0.000, 0.000], [-1.772, 3.069, 0.000], [0.000, 0.000, 22.490]],
  "species": ["Hg", "Hg", "Hg", "As", "As", "As", "As", "As", "As", "Rh", "Rh", "Rh"],
  "fractional_positions": [[0.000, 0.000, 0.000], [0.333, 0.667, 0.667], [0.667, 0.333, 0.333], [0.000, 0.000, 0.232], [0.000, 0.000, 0.768], [0.333, 0.667, 0.435], [0.333, 0.667, 0.898], [0.667, 0.333, 0.102], [0.667, 0.333, 0.565], [0.000, 0.000, 0.500], [0.333, 0.667, 0.167], [0.667, 0.333, 0.833]]
}

[19]
{
  "formula": "HgAs2Rh",
  "functional": "PBE",
  "state": "optimized geometry",
  "formation_enthalpy_0k_ev_per_fu": -0.36,
  "space_group": "C2/m",
  "lattice_angstrom": [[7.500, 0.000, 0.000], [0.000, 3.078, 0.000], [-2.425, 0.000, 7.649]],
  "species": ["Hg", "Hg", "As", "As", "As", "As", "Rh", "Rh"],
  "fractional_positions": [[0.000, 0.000, 0.000], [0.500, 0.500, 0.000], [0.155, 0.500, 0.335], [0.345, 0.000, 0.665], [0.655, 0.000, 0.335], [0.845, 0.500, 0.665], [0.000, 0.000, 0.500], [0.500, 0.500, 0.500]]
}

[20]
{
  "formula": "Hg2AsRh",
  "functional": "PBE",
  "state": "optimized geometry",
  "formation_enthalpy_0k_ev_per_fu": -0.34,
  "space_group": "P4mm",
  "lattice_angstrom": [[3.039, 0.000, 0.000], [0.000, 3.039, 0.000], [0.000, 0.000, 9.077]],
  "species": ["Hg", "Hg", "As", "Rh"],
  "fractional_positions": [[0.000, 0.000, 0.000], [0.500, 0.500, 0.297], [0.500, 0.500, 0.680], [0.000, 0.000, 0.529]]
}

Going through the records in order, we get total energy values of -33.5 -9.0 -16.9 -29.3 -25.7 -33.9 -22.0 -23.0 -25.3 -18.5 -35.1 -19.5 -57.2 -19.6 -37.5 -9.8 -74.2 -51.8 -34.6 -12.9 eV/cell.